Density functional theory data (PBE) for a relaxed LiCdSCl crystal.

The total energy is -3.37 eV per atom. Its crystal system is trigonal. As for the volume: 98.1 Å³ per cell. The magnetization is 0.0000 μB per atom. Its raw formation energy is -1.17 eV/atom.

The structure belongs to space group P3m1 (No. 156); the cell edges are 4.1635, 4.1635 and 6.5356 Å and the angles 90.00°, 90.00° and 120.00°. The distinct sites, in fractional coordinates, are Li at (0.0000, 0.0000, 0.0000), Cd at (0.6667, 0.3333, 0.4813), S at (0.0000, 0.0000, 0.3751) and Cl at (0.6667, 0.3333, 0.8962).